Here is an optimized crystal structure of PmGdYIn from Alexandria via LeMat-Bulk. Energies are from PBE.

a = 5.5039 Å, b = 5.5039 Å, c = 5.5039 Å
α = 60.00°, β = 60.00°, γ = 60.00°
Closest atoms and distances in Å follow each position.
Sites, in units of the cell vectors:
Pm: 0.0000 0.0000 0.0000  4 Gd 3.37, 4 In 3.37
Gd: 0.7500 0.7500 0.7500  4 Y 3.37, 4 Pm 3.37
Y: 0.5000 0.5000 0.5000  4 Gd 3.37, 4 In 3.37
In: 0.2500 0.2500 0.2500  4 Y 3.37, 4 Pm 3.37

Output
Calculated formation energy in eV/atom: -0.170

=====

Here is an optimized crystal structure of PrGdIn2 from Alexandria via LeMat-Bulk. Energies are from PBE.

a = 3.8281 Å, b = 3.8281 Å, c = 7.7658 Å
α = 90.00°, β = 90.00°, γ = 90.00°
Closest atoms and distances in Å follow each position.
Sites, in units of the cell vectors:
Pr: 0.0000 0.0000 0.0000  8 In 3.38
Gd: 0.0000 0.0000 0.5000  8 In 3.29
In: 0.5000 0.5000 0.2599  4 Gd 3.29, 4 Pr 3.38
In: 0.5000 0.5000 0.7401  4 Gd 3.29, 4 Pr 3.38

Output
Calculated formation energy in eV/atom: -0.498

=====

Here is an optimized crystal structure of PrGdIn2 from Alexandria via LeMat-Bulk. Energies are from PBE.

a = 5.4445 Å, b = 5.4445 Å, c = 5.4445 Å
α = 60.00°, β = 60.00°, γ = 60.00°
Closest atoms and distances in Å follow each position.
Sites, in units of the cell vectors:
Pr: 0.0000 0.0000 0.0000  8 In 3.33
Gd: 0.5000 0.5000 0.5000  8 In 3.33
In: 0.2500 0.2500 0.2500  4 Gd 3.33, 4 Pr 3.33
In: 0.7500 0.7500 0.7500  4 Pr 3.33, 4 Gd 3.33

Output
Calculated formation energy in eV/atom: -0.483

=====

Here is an optimized crystal structure of PrGdInPt from Alexandria via LeMat-Bulk. Energies are from PBE.

a = 5.2631 Å, b = 5.2631 Å, c = 5.2631 Å
α = 60.00°, β = 60.00°, γ = 60.00°
Closest atoms and distances in Å follow each position.
Sites, in units of the cell vectors:
Pr: 0.0000 0.0000 0.0000  4 In 3.22, 4 Pt 3.22
Gd: 0.5000 0.5000 0.5000  4 In 3.22, 4 Pt 3.22
In: 0.7500 0.7500 0.7500  4 Gd 3.22, 4 Pr 3.22
Pt: 0.2500 0.2500 0.2500  4 Gd 3.22, 4 Pr 3.22

Output
Calculated formation energy in eV/atom: -0.667

=====

| no. | E_tot (eV per cell) |
| --- | --- |
| 1 | -28.71 |
| 2 | -26.33 |
| 3 | -26.27 |
| 4 | -30.31 |